(1)
A plane-wave DFT calculation with PBE was carried out for a relaxed OsPdIO2 crystal.

For the density of states at the Fermi level, the calculation gives 3.251 states/eV per cell. Its energy above the most stable polymorph in this dataset is 0 meV per atom. The value obtained for the uncorrected formation energy is -326 meV/atom. Its electronic total energy is -29.5 eV/cell.

The space group is P4/mmm (No. 123) and the conventional cell measures 3.748, 3.748 and 7.975 Å, with angles of 90.00, 90.00 and 90.00 degrees. The inequivalent atoms are Os at (0.000, 0.000, 0.000), Pd at (0.500, 0.500, 0.500), I at (0.000, 0.000, 0.500) and O at (0.000, 0.500, 0.000).

---

(2)
A plane-wave DFT calculation with PBE was carried out for a relaxed Cd2InRu2 crystal.

For the density of states at the Fermi level, the calculation gives 4.767 states/eV per cell. The value obtained for the formation energy from the elements is 0.2182 eV per atom. Its electronic total energy is -44.1 eV/cell.

The space group is P4/mbm (No. 127) and the conventional cell measures 6.764, 6.764 and 4.225 Å, with angles of 90.00, 90.00 and 90.00 degrees. The inequivalent atoms are Cd at (0.169, 0.331, 0.000), In at (0.000, 0.000, 0.500) and Ru at (0.127, 0.627, 0.500).

---

(3)
A plane-wave DFT calculation with PBE was carried out for a relaxed Pm3NiPt crystal.

For the density of states at the Fermi level, the calculation gives 7.741 states/eV per cell. The value obtained for the formation energy from the elements is -0.6110 eV per atom. Its energy above the most stable polymorph in this dataset is 0 meV per atom. Its electronic total energy is -58.3 eV/cell.

The space group is P2_1/m (No. 11) and the conventional cell measures 8.231, 3.944 and 8.255 Å, with angles of 90.00, 109.55 and 90.00 degrees. The inequivalent atoms are Pm at (0.065, 0.250, 0.235), Pm at (0.318, 0.250, 0.962), Pm at (0.356, 0.750, 0.601), Ni at (0.069, 0.250, 0.580) and Pt at (0.347, 0.750, 0.235).

---

(4)
A plane-wave DFT calculation with PBE was carried out for a relaxed PaMn5 crystal.

For the density of states at the Fermi level, the calculation gives 14.730 states/eV per cell. The value obtained for the formation energy from the elements is 0.0551 eV per atom. Its electronic total energy is -110.0 eV/cell.

The space group is Cmmm (No. 65) and the conventional cell measures 3.774, 11.148 and 3.734 Å, with angles of 90.00, 90.00 and 90.00 degrees. The inequivalent atoms are Pa at (0.000, 0.000, 0.000), Mn at (0.000, 0.188, 0.500), Mn at (0.000, 0.309, 0.000) and Mn at (0.000, 0.500, 0.500).

---

(5)
A plane-wave DFT calculation with PBE was carried out for a relaxed Mn4VGe crystal.

For the density of states at the Fermi level, the calculation gives 26.676 states/eV per cell. The value obtained for the formation energy from the elements is 0.0426 eV per atom. Its energy above the most stable polymorph in this dataset is 133 meV per atom. Its electronic total energy is -200.6 eV/cell.

The space group is F-43m (No. 216) and the conventional cell measures 6.624, 6.624 and 6.624 Å, with angles of 90.00, 90.00 and 90.00 degrees. The inequivalent atoms are Mn at (0.124, 0.124, 0.376), V at (0.000, 0.000, 0.000) and Ge at (0.250, 0.250, 0.750).

---

(6)
A plane-wave DFT calculation with PBE was carried out for a relaxed Ti2NbRh2 crystal.

For the density of states at the Fermi level, the calculation gives 10.654 states/eV per cell. The value obtained for the formation energy from the elements is -0.1823 eV per atom. Its energy above the most stable polymorph in this dataset is 290 meV per atom. Its electronic total energy is -82.9 eV/cell.

The space group is I4/mmm (No. 139) and the conventional cell measures 4.129, 4.129 and 10.266 Å, with angles of 90.00, 90.00 and 90.00 degrees. The inequivalent atoms are Ti at (0.000, 0.500, 0.250), Nb at (0.000, 0.000, 0.000) and Rh at (0.000, 0.000, 0.382).

---

(7)
A plane-wave DFT calculation with PBE was carried out for a relaxed TcSb5 crystal.

For the density of states at the Fermi level, the calculation gives 4.976 states/eV per cell. Its energy above the most stable polymorph in this dataset is 375 meV per atom. The value obtained for the uncorrected formation energy is 462 meV/atom. Its electronic total energy is -28.2 eV/cell.

The space group is P-62m (No. 189) and the conventional cell measures 5.5996, 5.5996 and 5.3025 Å, with angles of 90.00, 90.00 and 120.00 degrees. The inequivalent atoms are Tc at (0.0000, 0.0000, 0.0000), Sb at (0.0000, 0.6962, 0.5000) and Sb at (0.3333, 0.6667, 0.0000).

---

(8)
A plane-wave DFT calculation with PBE was carried out for a relaxed Ba2LaBr crystal.

For the density of states at the Fermi level, the calculation gives 11.766 states/eV per cell. Its energy above the most stable polymorph in this dataset is 249 meV per atom. The value obtained for the uncorrected formation energy is -398 meV/atom. Its electronic total energy is -24.1 eV/cell.

The space group is Cmmm (No. 65) and the conventional cell measures 8.487, 10.047 and 3.985 Å, with angles of 90.00, 90.00 and 90.00 degrees. The inequivalent atoms are Ba at (0.250, 0.250, 0.000), La at (0.000, 0.000, 0.500) and Br at (0.000, 0.500, 0.500).